An optimized crystal structure of Rb2Sc2Bi2O. Source: Alexandria via LeMat-Bulk, functional PBE.

abc: 4.5762 4.5762 10.4736
angles: 102.62 102.62 90.00
With the nearest neighbours (Å) after each atom.
Positions (direct):
Bi 0.6041 0.6041 0.2083  4 Sc 3.09
Bi 0.3959 0.3959 0.7917  4 Sc 3.09
Sc 0.0000 0.5000 0.0000  2 O 2.29
Sc 0.5000 0.0000 0.0000  2 O 2.29
Rb 0.1788 0.1788 0.3576  4 Bi 3.56, 1 O 3.56
Rb 0.8212 0.8212 0.6424  4 Bi 3.56, 1 O 3.56
O 0.0000 0.0000 0.0000  4 Sc 2.29

Values from the calculation:
Uncorrected energy: -5.0932 eV/atom
DOS(E_F): 0.05 states/eV per atom
V: 29.801 A^3/atom
Space-group type: No. 139

---

An optimized crystal structure of Rb2ScBiO6. Source: Alexandria via LeMat-Bulk, functional PBE.

abc: 6.0489 6.0489 6.0489
angles: 60.00 60.00 60.00
With the nearest neighbours (Å) after each atom.
Positions (direct):
Bi 0.0000 0.0000 0.0000  6 O 2.15
Sc 0.5000 0.5000 0.5000  6 O 2.13
Rb 0.7500 0.7500 0.7500  12 O 3.02
Rb 0.2500 0.2500 0.2500  12 O 3.02
O 0.7492 0.2508 0.2508  1 Sc 2.13, 1 Bi 2.15
O 0.2508 0.7492 0.7492  1 Sc 2.13, 1 Bi 2.15
O 0.7492 0.2508 0.7492  1 Sc 2.13, 1 Bi 2.15
O 0.2508 0.7492 0.2508  1 Sc 2.13, 1 Bi 2.15
O 0.2508 0.2508 0.7492  1 Sc 2.13, 1 Bi 2.15
O 0.7492 0.7492 0.2508  1 Sc 2.13, 1 Bi 2.15

Values from the calculation:
Uncorrected energy: -5.6747 eV/atom
DOS(E_F): 0.73 states/eV per atom
V: 15.650 A^3/atom
Space-group type: No. 225

---

An optimized crystal structure of RbBiSe2O6. Source: Alexandria via LeMat-Bulk, functional PBE.

abc: 7.1773 7.1773 8.2395
angles: 109.44 109.44 92.09
With the nearest neighbours (Å) after each atom.
Positions (direct):
Bi 0.3657 0.6343 0.7500  4 O 2.28-2.40
Bi 0.6343 0.3657 0.2500  4 O 2.28-2.40
Se 0.5313 0.8733 0.2631  3 O 1.72-1.74
Se 0.8733 0.5313 0.7631  3 O 1.72-1.74
Se 0.1267 0.4687 0.2369  3 O 1.72-1.74
Se 0.4687 0.1267 0.7369  3 O 1.72-1.74
Rb 0.0417 0.9583 0.2500  4 O 2.81-3.07
Rb 0.9583 0.0417 0.7500  4 O 2.81-3.07
O 0.2774 0.2547 0.6697  1 Se 1.72
O 0.7023 0.3649 0.5551  1 Se 1.73
O 0.2977 0.6351 0.4449  1 Se 1.73
O 0.9659 0.3524 0.3059  1 Se 1.74
O 0.2547 0.2774 0.1697  1 Se 1.72
O 0.0341 0.6476 0.6941  1 Se 1.74
O 0.6351 0.2977 0.9449  1 Se 1.73
O 0.7453 0.7226 0.8303  1 Se 1.72
O 0.3649 0.7023 0.0551  1 Se 1.73
O 0.6476 0.0341 0.1941  1 Se 1.74
O 0.7226 0.7453 0.3303  1 Se 1.72
O 0.3524 0.9659 0.8059  1 Se 1.74

Values from the calculation:
Uncorrected energy: -5.3040 eV/atom
DOS(E_F): 0.00 states/eV per atom
V: 18.611 A^3/atom
Space-group type: No. 15

---

An optimized crystal structure of RbSiBiO4. Source: Alexandria via LeMat-Bulk, functional PBE.

abc: 6.0652 5.8382 7.6171
angles: 90.00 108.13 90.00
With the nearest neighbours (Å) after each atom.
Positions (direct):
O 0.5548 0.2500 0.4500  1 Si 1.68
O 0.0861 0.9766 0.3117  1 Si 1.66
O 0.5812 0.2500 0.8024  1 Si 1.63
O 0.9139 0.4766 0.6883  1 Si 1.66
O 0.0861 0.5234 0.3117  1 Si 1.66
O 0.9139 0.0234 0.6883  1 Si 1.66
O 0.4452 0.7500 0.5500  1 Si 1.68
O 0.4188 0.7500 0.1976  1 Si 1.63
Rb 0.3020 0.2500 0.0531  6 O 2.92-3.12
Rb 0.6980 0.7500 0.9469  6 O 2.92-3.12
Si 0.2589 0.7500 0.3349  4 O 1.63-1.68
Si 0.7411 0.2500 0.6651  4 O 1.63-1.68
Bi 0.7714 0.7500 0.4744  4 O 2.23-2.49
Bi 0.2286 0.2500 0.5256  4 O 2.23-2.49

Values from the calculation:
Uncorrected energy: -6.3436 eV/atom
DOS(E_F): 0.00 states/eV per atom
V: 18.310 A^3/atom
Space-group type: No. 11

---

An optimized crystal structure of Rb4Sm3BiO8. Source: Alexandria via LeMat-Bulk, functional PBE.

abc: 7.2427 7.8121 7.2429
angles: 117.63 120.00 90.00
With the nearest neighbours (Å) after each atom.
Positions (direct):
O 0.2740 0.3220 0.5479  3 Sm 2.40
O 0.2312 0.6833 0.9521  2 Sm 2.40, 1 Bi 2.45
O 0.7209 0.6833 0.9521  2 Sm 2.40, 1 Bi 2.45
O 0.7260 0.6780 0.4521  3 Sm 2.40
O 0.2312 0.6833 0.4624  2 Sm 2.40, 1 Bi 2.45
O 0.7688 0.3167 0.5376  2 Sm 2.40, 1 Bi 2.45
O 0.2791 0.3167 0.0479  2 Sm 2.40, 1 Bi 2.45
O 0.7688 0.3167 0.0479  2 Sm 2.40, 1 Bi 2.45
Rb 0.0000 0.0000 0.5000  6 O 2.97-2.98
Rb 0.0000 0.0000 0.0000  6 O 2.97-2.98
Rb 0.5000 0.0000 0.5000  6 O 2.97-2.98
Rb 0.5000 0.0000 0.0000  6 O 2.93
Sm 0.5000 0.5000 0.5000  6 O 2.40
Sm 0.0000 0.5000 0.5000  6 O 2.40
Sm 0.5000 0.5000 0.0000  6 O 2.40
Bi 0.0000 0.5000 0.0000  6 O 2.45

Values from the calculation:
Uncorrected energy: -6.1291 eV/atom
DOS(E_F): 0.00 states/eV per atom
V: 18.734 A^3/atom
Space-group type: No. 166

---

An optimized crystal structure of RbSmBiO3. Source: Alexandria via LeMat-Bulk, functional PBE.

abc: 3.5950 11.0452 7.4608
angles: 102.49 90.00 90.00
With the nearest neighbours (Å) after each atom.
Positions (direct):
Bi 0.2500 0.1115 0.6403  3 O 2.15-2.36
Bi 0.7500 0.8885 0.3597  3 O 2.15-2.36
O 0.2500 0.5191 0.8406  3 Sm 2.33-2.34
O 0.7500 0.2298 0.5638  2 Bi 2.36, 1 Sm 2.42
O 0.7500 0.4809 0.1594  3 Sm 2.33-2.34
O 0.2500 0.2508 0.8910  1 Bi 2.15, 2 Sm 2.40
O 0.2500 0.7702 0.4362  2 Bi 2.36, 1 Sm 2.42
O 0.7500 0.7492 0.1090  1 Bi 2.15, 2 Sm 2.40
Rb 0.2500 0.2879 0.2737  5 O 2.80-3.05
Rb 0.7500 0.7121 0.7263  5 O 2.80-3.05
Sm 0.2500 0.6147 0.1525  6 O 2.33-2.42
Sm 0.7500 0.3853 0.8475  6 O 2.33-2.42

Values from the calculation:
Uncorrected energy: -6.0359 eV/atom
DOS(E_F): 0.31 states/eV per atom
V: 24.103 A^3/atom
Space-group type: No. 11

---

An optimized crystal structure of Rb2Sn2Bi2O. Source: Alexandria via LeMat-Bulk, functional PBE.

abc: 5.1369 7.2846 7.5743
angles: 72.89 70.18 69.35
With the nearest neighbours (Å) after each atom.
Positions (direct):
Bi 0.8479 0.6132 0.6910  3 Sn 3.19-3.20, 1 Bi 3.38
Bi 0.1521 0.3868 0.3090  3 Sn 3.19-3.20, 1 Bi 3.38
Rb 0.5566 0.1629 0.7239  2 O 3.29
Rb 0.4434 0.8371 0.2761  2 O 3.29
Sn 0.8168 0.2857 0.0808  1 O 2.14
Sn 0.1832 0.7143 0.9192  1 O 2.14
O 0.0000 0.0000 0.0000  2 Sn 2.14

Values from the calculation:
Uncorrected energy: -3.7921 eV/atom
DOS(E_F): 0.21 states/eV per atom
V: 34.936 A^3/atom
Space-group type: No. 12

---

An optimized crystal structure of Rb12Sn2Bi6O. Source: Alexandria via LeMat-Bulk, functional PBE.

abc: 12.7867 12.7867 6.4870
angles: 90.00 90.00 120.00
With the nearest neighbours (Å) after each atom.
Positions (direct):
Rb 0.8899 0.1101 0.2795  1 O 2.83
Rb 0.7798 0.8899 0.7205  1 O 2.83
Rb 0.5464 0.0927 0.2494  4 Rb 3.83-4.29, 4 Bi 4.12-4.19, 2 Sn 4.18-4.21
Rb 0.4536 0.9073 0.7506  4 Rb 3.83-4.29, 4 Bi 4.12-4.19, 2 Sn 4.18-4.21
Rb 0.1101 0.2202 0.7205  1 O 2.83
Rb 0.0927 0.5464 0.7506  4 Rb 3.83-4.29, 4 Bi 4.12-4.19, 2 Sn 4.18-4.21
Rb 0.2202 0.1101 0.2795  1 O 2.83
Rb 0.4536 0.5464 0.7506  4 Rb 3.83-4.29, 4 Bi 4.12-4.19, 2 Sn 4.18-4.21
Rb 0.8899 0.7798 0.2795  1 O 2.83
Rb 0.1101 0.8899 0.7205  1 O 2.83
Rb 0.5464 0.4536 0.2494  4 Rb 3.83-4.29, 4 Bi 4.12-4.19, 2 Sn 4.18-4.21
Rb 0.9073 0.4536 0.2494  4 Rb 3.83-4.29, 4 Bi 4.12-4.19, 2 Sn 4.18-4.21
Bi 0.2048 0.7952 0.2361  1 Sn 2.85
Bi 0.7952 0.2048 0.7639  1 Sn 2.85
Bi 0.5904 0.7952 0.2361  1 Sn 2.85
Bi 0.4096 0.2048 0.7639  1 Sn 2.85
Bi 0.7952 0.5904 0.7639  1 Sn 2.85
Bi 0.2048 0.4096 0.2361  1 Sn 2.85
Sn 0.6667 0.3333 0.7527  3 Bi 2.85
Sn 0.3333 0.6667 0.2473  3 Bi 2.85
O 0.0000 0.0000 0.5000  6 Rb 2.83

Values from the calculation:
Uncorrected energy: -2.7060 eV/atom
DOS(E_F): 0.17 states/eV per atom
V: 43.739 A^3/atom
Space-group type: No. 164

---

An optimized crystal structure of Rb2SnBiO5. Source: Alexandria via LeMat-Bulk, functional PBE.

abc: 3.4584 7.0338 14.4809
angles: 90.00 90.00 104.23
With the nearest neighbours (Å) after each atom.
Positions (direct):
Rb 0.0717 0.1433 0.6730  6 O 2.80-2.99
Rb 0.9283 0.8567 0.1730  6 O 2.80-2.99
Rb 0.8255 0.6510 0.7801  5 O 2.82-3.02
Rb 0.1745 0.3490 0.2801  5 O 2.82-3.02
O 0.3025 0.6050 0.4330  2 Sn 2.25, 1 Bi 2.36
O 0.6201 0.2403 0.5105  1 Sn 2.04, 1 Bi 2.19
O 0.4893 0.9786 0.8063  1 Bi 2.07
O 0.3799 0.7597 0.0105  1 Sn 2.04, 1 Bi 2.19
O 0.5107 0.0214 0.3063  1 Bi 2.07
O 0.2688 0.5377 0.6179  2 Sn 2.17
O 0.0707 0.1415 0.0307  1 Sn 2.19, 2 Bi 2.22
O 0.7312 0.4623 0.1179  2 Sn 2.17
O 0.6975 0.3950 0.9330  2 Sn 2.25, 1 Bi 2.36
O 0.9293 0.8585 0.5307  1 Sn 2.19, 2 Bi 2.22
Bi 0.5248 0.0495 0.9452  4 O 2.07-2.22
Bi 0.4752 0.9505 0.4452  4 O 2.07-2.22
Sn 0.2315 0.4630 0.0273  6 O 2.04-2.25
Sn 0.7685 0.5370 0.5273  6 O 2.04-2.25

Values from the calculation:
Uncorrected energy: -5.1325 eV/atom
DOS(E_F): 0.29 states/eV per atom
V: 18.969 A^3/atom
Space-group type: No. 36

---

An optimized crystal structure of Rb3SrBi2O6. Source: Alexandria via LeMat-Bulk, functional PBE.

abc: 6.3556 6.3556 6.9012
angles: 98.84 98.84 119.98
With the nearest neighbours (Å) after each atom.
Positions (direct):
O 0.9374 0.5821 0.8129  2 Bi 2.39, 1 Sr 2.57
O 0.7065 0.7065 0.1859  2 Bi 2.39, 1 Sr 2.57
O 0.0626 0.4179 0.1871  2 Bi 2.39, 1 Sr 2.57
O 0.5821 0.9374 0.8129  2 Bi 2.39, 1 Sr 2.57
O 0.4179 0.0626 0.1871  2 Bi 2.39, 1 Sr 2.57
O 0.2935 0.2935 0.8141  2 Bi 2.39, 1 Sr 2.57
Rb 0.1654 0.8346 0.5000  6 O 2.86-3.01
Rb 0.8346 0.1654 0.5000  6 O 2.86-3.01
Rb 0.5000 0.5000 0.5000  6 O 2.86-3.00
Bi 0.3333 0.6667 0.0000  6 O 2.39
Bi 0.6667 0.3333 0.0000  6 O 2.39
Sr 0.0000 0.0000 0.0000  6 O 2.57

Values from the calculation:
Uncorrected energy: -5.0173 eV/atom
DOS(E_F): 0.43 states/eV per atom
V: 19.147 A^3/atom
Space-group type: No. 12